No. 1
Density functional theory data (PBE) for an optimized crystal structure of Pu3BiTe2.

Properties
ΔE_f (raw)   -848 meV/atom
Crystal system   monoclinic
Symmetry   C2/c (15)
Total DFT energy (no corrections)   -9.71 eV per atom

Geometry as POSCAR:
```
Pu3BiTe2
1.0
3.876 -6.722 0.000
3.876 6.722 0.000
-2.591 0.000 7.325
Pu Bi Te
6 2 4
Cartesian
1.938 3.361 0.000
0.608 1.139 3.655
-0.688 -1.139 7.317
0.643 -3.361 3.662
5.849 1.139 0.007
4.554 -1.139 3.670
3.228 1.108 1.831
1.933 -1.108 5.494
3.228 5.598 1.831
1.933 3.344 5.494
3.228 -3.344 1.831
1.933 -5.598 5.494
```


No. 2
Density functional theory data (PBE) for an optimized crystal structure of Ac2TmTa.

Properties
Crystal system   trigonal
Symmetry   R-3m (166)
Total DFT energy (no corrections)   -5.25 eV per atom

Geometry as POSCAR:
```
Ac2TmTa
1.0
1.747 1.009 12.274
-1.747 1.009 12.274
0.000 -2.018 12.274
Ac Tm Ta
2 1 1
Cartesian
0.000 0.000 3.038
0.000 0.000 33.786
0.000 0.000 18.412
0.000 0.000 0.000
```


- Look up the total DFT energy (no corrections) of the second one.
  -5.25 eV per atom


- What is the total DFT energy (no corrections) in the first record?
  -9.71 eV per atom


- What is the total DFT energy (no corrections) in the second record?
  -5.25 eV per atom